# 1
Density functional theory data (GGA-PBE) for a relaxed MgV2Br crystal.

a b c (Å): 4.684 4.684 4.684
angles (deg): 60.00 60.00 60.00
Last column: magnetic moment on the atom in μB.
Fractional coordinates of all 4 atoms:
Mg1 0.000 0.000 0.000  0.01
Br1 0.500 0.500 0.500  -0.03
V1 0.250 0.250 0.250  2.15
V2 0.750 0.750 0.750  2.15

E_form (uncorrected) (eV/f.u.): 3.55
Final energy (eV for the cell shown): -18.0
Relative energy among the computed polymorphs (eV/atom): 0.270

=====

# 2
Density functional theory data (GGA-PBE) for a relaxed MgV2Br crystal.

a b c (Å): 3.697 3.697 10.792
angles (deg): 80.14 80.14 90.00
Fractional coordinates of all 8 atoms:
Mg1 0.500 0.500 0.000
Mg2 0.250 0.750 0.500
Br1 0.000 0.000 0.000
Br2 0.750 0.250 0.500
V1 0.615 0.125 0.250
V2 0.135 0.625 0.250
V3 0.375 0.385 0.750
V4 0.875 0.865 0.750

E_form (uncorrected) (eV/f.u.): 2.47
Final energy (eV for the cell shown): -38.1
Relative energy among the computed polymorphs (eV/atom): 0.000

=====

# 3
Density functional theory data (GGA-PBE) for a relaxed Mg2WBr crystal.

a b c (Å): 4.984 4.984 4.984
angles (deg): 60.00 60.00 60.00
Last column: magnetic moment on the atom in μB.
Fractional coordinates of all 4 atoms:
Mg1 0.250 0.250 0.250  -0.02
Mg2 0.750 0.750 0.750  -0.02
Br1 0.000 0.000 0.000  0.03
W1 0.500 0.500 0.500  2.22

E_form (uncorrected) (eV/f.u.): 4.20
Final energy (eV for the cell shown): -13.6
Relative energy among the computed polymorphs (eV/atom): 0.929

=====

# 4
Density functional theory data (GGA-PBE) for a relaxed Mg2WBr crystal.

a b c (Å): 3.053 3.099 8.571
angles (deg): 89.93 90.00 90.00
Fractional coordinates of all 4 atoms:
Br1 0.500 0.750 0.750
Mg1 0.000 0.751 0.016
Mg2 0.000 0.749 0.484
W1 0.500 0.250 0.250

E_form (uncorrected) (eV/f.u.): 0.49
Final energy (eV for the cell shown): -17.3
Relative energy among the computed polymorphs (eV/atom): 0.000

=====

# 5
Density functional theory data (GGA-PBE) for a relaxed Mg2WBr crystal.

a b c (Å): 4.839 3.073 5.162
angles (deg): 89.88 90.00 90.00
Fractional coordinates of all 4 atoms:
Br1 0.500 0.623 0.754
Mg1 0.000 0.124 0.971
Mg2 0.500 0.127 0.303
W1 0.000 0.625 0.471

E_form (uncorrected) (eV/f.u.): 1.84
Final energy (eV for the cell shown): -16.0
Relative energy among the computed polymorphs (eV/atom): 0.337

=====

# 6
Density functional theory data (GGA-PBE) for a relaxed Mg2WBr crystal.

a b c (Å): 5.516 5.516 5.516
angles (deg): 135.83 135.83 64.25
Last column: magnetic moment on the atom in μB.
Fractional coordinates of all 4 atoms:
Br1 0.750 0.250 0.500  0.05
Mg1 0.000 0.000 0.000  -0.01
Mg2 0.500 0.500 0.000  -0.01
W1 0.250 0.750 0.500  1.98

E_form (uncorrected) (eV/f.u.): 3.54
Final energy (eV for the cell shown): -14.3
Relative energy among the computed polymorphs (eV/atom): 0.763

=====

# 7
Density functional theory data (GGA-PBE) for a relaxed Mg2WBr crystal.

a b c (Å): 8.929 8.929 8.929
angles (deg): 20.67 20.67 20.67
Fractional coordinates of all 4 atoms:
Br1 0.750 0.750 0.750
Mg1 0.000 0.000 0.000
Mg2 0.500 0.500 0.500
W1 0.250 0.250 0.250

E_form (uncorrected) (eV/f.u.): 0.63
Final energy (eV for the cell shown): -17.2
Relative energy among the computed polymorphs (eV/atom): 0.036

=====

# 8
Density functional theory data (GGA-PBE) for a relaxed Mg2WBr crystal.

a b c (Å): 3.072 3.072 8.516
angles (deg): 90.00 90.00 102.44
Fractional coordinates of all 4 atoms:
Br1 0.500 0.500 0.750
Mg1 0.000 0.000 0.010
Mg2 0.000 0.000 0.490
W1 0.500 0.500 0.250

E_form (uncorrected) (eV/f.u.): 0.66
Final energy (eV for the cell shown): -17.2
Relative energy among the computed polymorphs (eV/atom): 0.043

=====

# 9
Density functional theory data (GGA-PBE) for a relaxed Mg2WBr crystal.

a b c (Å): 4.856 4.856 4.856
angles (deg): 60.00 60.00 60.00
Last column: magnetic moment on the atom in μB.
Fractional coordinates of all 4 atoms:
Br1 0.500 0.500 0.500  0.04
Mg1 0.000 0.000 0.000  0.01
Mg2 0.750 0.750 0.750  -0.03
W1 0.250 0.250 0.250  1.90

E_form (uncorrected) (eV/f.u.): 3.94
Final energy (eV for the cell shown): -13.9
Relative energy among the computed polymorphs (eV/atom): 0.863

=====

# 10
Density functional theory data (GGA-PBE) for a relaxed MgW4Br crystal.

a b c (Å): 5.404 5.404 5.404
angles (deg): 60.00 60.00 60.00
Fractional coordinates of all 6 atoms:
Mg1 0.000 0.000 0.000
W1 0.375 0.874 0.375
W2 0.874 0.375 0.375
W3 0.375 0.375 0.874
W4 0.375 0.375 0.375
Br1 0.750 0.750 0.750

E_form (uncorrected) (eV/f.u.): 6.07
Final energy (eV for the cell shown): -49.0

=====

# 11
Density functional theory data (GGA-PBE) for a relaxed MgW3Br crystal.

a b c (Å): 4.630 4.630 4.630
angles (deg): 90.00 90.00 90.00
Fractional coordinates of all 5 atoms:
Mg1 0.500 0.500 0.500
Br1 0.000 0.000 0.000
W1 0.000 0.500 0.000
W2 0.000 0.000 0.500
W3 0.500 0.000 0.000

E_form (uncorrected) (eV/f.u.): 9.82
Final energy (eV for the cell shown): -32.3
Relative energy among the computed polymorphs (eV/atom): 0.000

=====

# 12
Density functional theory data (GGA-PBE) for a relaxed Mg2WBr crystal.

a b c (Å): 3.081 3.081 8.772
angles (deg): 90.00 90.00 90.00
Fractional coordinates of all 4 atoms:
Br1 0.500 0.500 0.694
Mg1 0.000 0.000 0.018
Mg2 0.500 0.500 0.283
W1 0.000 0.000 0.505

E_form (uncorrected) (eV/f.u.): 2.05
Final energy (eV for the cell shown): -15.8
Relative energy among the computed polymorphs (eV/atom): 0.390